The following is a PBE-GGA calculation of a relaxed Mg2InGaH crystal, from Alexandria via LeMat-Bulk.

Cell: 4.3587 4.3587 4.6223 Å, 90.00 90.00 90.00°
Last column: nearest neighbours and their distance in Å.
Element x y z (fractional)
Mg1 0.0000 0.5000 0.0000  2 H 2.18
Mg2 0.5000 0.0000 0.0000  2 H 2.18
In1 0.0000 0.0000 0.5000  4 Ga 3.08, 8 Mg 3.18
Ga1 0.5000 0.5000 0.5000  2 H 2.31
H1 0.5000 0.5000 0.0000  4 Mg 2.18, 2 Ga 2.31

- ΔE to the lowest computed polymorph: 0.0 meV per atom